! Cu2TcNi, optimized geometry, DFT GGA-PBE; values from VASP
! E_form = 2.85 eV/f.u.
! total energy = -5.374 eV per atom
! ρ = 8.79 g cm⁻³
! SG = I-42d
! distance to the lowest polymorph of the same formula = 15.22 kcal/mol of atoms
&SYSTEM
  ibrav = 0, nat = 8, ntyp = 3
/
ATOMIC_SPECIES
Ni 58.69 Ni.upf
Tc 98.00 Tc.upf
Cu 63.55 Cu.upf
ATOMIC_POSITIONS angstrom
Ni 3.320 3.320 0.000
Ni 3.320 6.640 1.216
Tc 0.000 0.000 0.000
Tc 6.640 3.320 1.216
Cu 4.866 1.660 0.608
Cu 1.774 4.980 0.608
Cu 4.980 5.094 1.824
Cu 8.300 8.187 1.824
CELL_PARAMETERS angstrom
6.640 0.000 0.000
0.000 6.640 0.000
3.320 3.320 2.432

! HfGaOs3, optimized geometry, DFT GGA-PBE; values from VASP
! E_form = 11.57 eV/f.u.
! total energy = -7.020 eV per atom
! ρ = 12.11 g cm⁻³
! SG = Pm-3m
! distance to the lowest polymorph of the same formula = 28.63 kcal/mol of atoms
&SYSTEM
  ibrav = 0, nat = 5, ntyp = 3
/
ATOMIC_SPECIES
Hf 178.49 Hf.upf
Os 190.23 Os.upf
Ga 69.72 Ga.upf
ATOMIC_POSITIONS angstrom
Hf 0.000 0.000 0.000
Os 2.127 -0.576 -0.982
Os -0.747 -2.276 -0.282
Os -0.859 0.553 -2.185
Ga 0.520 -2.299 -3.450
CELL_PARAMETERS angstrom
-1.719 1.107 -4.371
4.253 -1.153 -1.965
-1.495 -4.553 -0.565

! NaZn2Ag8, optimized geometry, DFT GGA-PBE; values from VASP
! E_form = 2.62 eV/f.u.
! total energy = -2.187 eV per atom
! ρ = 6.37 g cm⁻³
! SG = P4/mmm
! distance to the lowest polymorph of the same formula = 3.86 kcal/mol of atoms
&SYSTEM
  ibrav = 0, nat = 11, ntyp = 3
/
ATOMIC_SPECIES
Na 22.99 Na.upf
Zn 65.41 Zn.upf
Ag 107.87 Ag.upf
ATOMIC_POSITIONS angstrom
Na 2.768 2.768 4.323
Zn 2.768 0.000 0.000
Zn 0.000 2.768 0.000
Ag 4.155 4.155 1.867
Ag 4.155 1.380 6.780
Ag 4.155 4.155 6.780
Ag 4.155 1.380 1.867
Ag 1.380 4.155 1.867
Ag 1.380 4.155 6.780
Ag 1.380 1.380 1.867
Ag 1.380 1.380 6.780
CELL_PARAMETERS angstrom
5.535 0.000 0.000
0.000 5.535 0.000
0.000 0.000 8.647

! Sr2Li3NdBi4, optimized geometry, DFT GGA-PBE; values from VASP
! E_form = -6.66 eV/f.u.
! total energy = -3.606 eV per atom
! ρ = 6.42 g cm⁻³
! SG = P-4m2
&SYSTEM
  ibrav = 0, nat = 10, ntyp = 4
/
ATOMIC_SPECIES
Sr 87.62 Sr.upf
Li 6.94 Li.upf
Nd 144.24 Nd.upf
Bi 208.98 Bi.upf
ATOMIC_POSITIONS angstrom
Sr 2.493 0.000 2.665
Sr 0.000 2.493 9.566
Li 0.000 0.000 6.115
Li 2.493 0.000 10.784
Li 0.000 2.493 1.447
Nd 2.493 2.493 6.115
Bi 2.493 2.493 0.000
Bi 0.000 0.000 0.000
Bi 2.493 0.000 8.020
Bi 0.000 2.493 4.211
CELL_PARAMETERS angstrom
4.987 0.000 0.000
0.000 4.987 0.000
0.000 0.000 12.231

! PmPaPtRh, optimized geometry, DFT GGA-PBE; values from VASP
! E_form = -3.67 eV/f.u.
! total energy = -7.828 eV per atom
! ρ = 12.37 g cm⁻³
! SG = Amm2
! distance to the lowest polymorph of the same formula = 0.00 kcal/mol of atoms
&SYSTEM
  ibrav = 0, nat = 4, ntyp = 4
/
ATOMIC_SPECIES
Pm 145.00 Pm.upf
Pa 231.04 Pa.upf
Pt 195.08 Pt.upf
Rh 102.91 Rh.upf
ATOMIC_POSITIONS angstrom
Pm 0.113 1.054 1.238
Pa -1.904 1.439 4.475
Pt -2.129 -0.669 2.000
Rh 0.312 2.916 3.423
CELL_PARAMETERS angstrom
-3.689 0.633 -0.203
-0.700 -3.186 2.778
2.235 3.330 4.382

! NaLi2Hg2Sb2, optimized geometry, DFT GGA-PBE; values from VASP
! total energy = -2.329 eV per atom
! ρ = 6.62 g cm⁻³
! raw formation energy = -0.33 eV per atom
! SG = R-3m
&SYSTEM
  ibrav = 0, nat = 7, ntyp = 4
/
ATOMIC_SPECIES
Na 22.99 Na.upf
Li 6.94 Li.upf
Hg 200.59 Hg.upf
Sb 121.76 Sb.upf
ATOMIC_POSITIONS angstrom
Na 0.000 0.000 0.000
Li -1.829 -5.245 -1.339
Li -4.890 -4.611 -6.044
Hg -3.282 -3.477 -3.956
Hg -3.438 -6.378 -3.427
Sb -5.052 -7.628 -5.494
Sb -1.667 -2.228 -1.889
CELL_PARAMETERS angstrom
-4.299 -0.140 -2.037
-0.395 -0.830 -4.670
-2.025 -8.886 -0.676

! CeMn3Ge3, optimized geometry, DFT GGA-PBE; values from VASP
! E_form = 1.51 eV/f.u.
! total energy = -6.540 eV per atom
! ρ = 5.72 g cm⁻³
! SG = Pm-3n
&SYSTEM
  ibrav = 0, nat = 14, ntyp = 3
/
ATOMIC_SPECIES
Ge 72.64 Ge.upf
Mn 54.94 Mn.upf
Ce 140.12 Ce.upf
ATOMIC_POSITIONS angstrom
Ge -0.877 3.491 -1.079
Ge -2.588 1.640 2.175
Ge -6.039 0.232 0.428
Ge -2.925 3.775 -3.729
Ge -2.442 4.988 2.421
Ge -3.378 0.267 -1.624
Mn -1.185 3.331 1.272
Mn -3.846 3.296 3.324
Mn -1.828 5.307 -2.281
Mn -5.732 0.391 -1.923
Mn -1.974 1.958 -2.527
Mn -3.685 0.107 0.727
Ce -4.562 3.598 -0.352
Ce 0.000 0.000 0.000
CELL_PARAMETERS angstrom
-4.094 0.568 -5.300
-5.323 -0.069 4.104
0.292 6.697 0.492

! Y2AlSi, optimized geometry, DFT GGA-PBE; values from VASP
! total energy = -6.201 eV per atom
! ρ = 4.11 g cm⁻³
! raw formation energy = -0.68 eV per atom
! SG = P2_1/m
&SYSTEM
  ibrav = 0, nat = 8, ntyp = 3
/
ATOMIC_SPECIES
Y 88.91 Y.upf
Al 26.98 Al.upf
Si 28.09 Si.upf
ATOMIC_POSITIONS angstrom
Y -0.805 -0.356 4.462
Y -2.034 -3.622 3.534
Y -4.162 -1.736 0.098
Y 1.323 -2.242 7.898
Al -3.524 -0.982 3.006
Al 0.685 -2.996 4.990
Si -1.388 -1.118 1.604
Si -1.451 -2.860 6.392
CELL_PARAMETERS angstrom
-1.906 2.429 2.514
-5.043 -2.670 -1.243
4.110 -3.737 6.725

no.,magnetic moment (μB per formula unit)
1,0.00
2,1.76
3,0.00
4,0.00
5,0.00
6,0.00
7,11.17
8,0.00